First-principles (PBE) data for CaGaPb2 after structural relaxation, as listed in the Alexandria database.

Values from the calculation:
As for the energy above the most stable polymorph in this dataset: 0 meV/atom. Its total magnetization is 0.0 μB/cell. The formation energy is -0.273 eV/atom.

a b c (Å): 4.737 4.808 4.808
angles (deg): 90.00 90.00 90.00
Fractional coordinates of all 4 atoms:
1 Pb 0.000 0.500 0.000
2 Pb 0.000 0.000 0.500
3 Ga 0.500 0.000 0.000
4 Ca 0.500 0.500 0.500

First-principles (PBE) data for BeCdCu2 after structural relaxation, as listed in the Alexandria database.

Values from the calculation:
As for the energy above the most stable polymorph in this dataset: 150 meV/atom. Its total magnetization is 0.0 μB/cell. The formation energy is 0.167 eV/atom.

a b c (Å): 8.552 8.552 8.552
angles (deg): 18.37 18.37 18.37
Fractional coordinates of all 4 atoms:
1 Cu 0.986 0.986 0.986
2 Cu 0.514 0.514 0.514
3 Be 0.250 0.250 0.250
4 Cd 0.750 0.750 0.750

First-principles (PBE) data for K2Sm2NpSe6 after structural relaxation, as listed in the Alexandria database.

Values from the calculation:
As for the raw formation energy: -1566 meV per atom. Its total magnetization is 3.0 μB/cell.

a b c (Å): 7.326 7.326 8.222
angles (deg): 98.74 98.74 119.76
Last column: magnetic moment on the atom in μB.
Fractional coordinates of all 11 atoms:
1 Se 0.608 0.932 0.298  -0.04
2 Se 0.068 0.392 0.702  -0.04
3 Se 0.747 0.747 0.702  -0.04
4 Se 0.253 0.253 0.298  -0.04
5 Se 0.392 0.068 0.702  -0.04
6 Se 0.932 0.608 0.298  -0.04
7 K 0.169 0.831 0.000  0.00
8 K 0.831 0.169 0.000  0.00
9 Np 0.000 0.000 0.500  3.31
10 Sm 0.666 0.334 0.500  0.01
11 Sm 0.334 0.666 0.500  0.01

First-principles (PBE) data for CaMgAl after structural relaxation, as listed in the Alexandria database.

Values from the calculation:
Its total magnetization is 0.4 μB/cell. The formation energy is 0.482 eV/atom.

a b c (Å): 5.127 5.127 5.127
angles (deg): 60.00 60.00 60.00
Fractional coordinates of all 3 atoms:
1 Mg 0.000 0.000 0.000
2 Al 0.500 0.500 0.500
3 Ca 0.750 0.750 0.750

First-principles (PBE) data for Cs4NaCd3Cl12 after structural relaxation, as listed in the Alexandria database.

Values from the calculation:
As for the raw formation energy: -1460 meV per atom. Its total magnetization is 0.0 μB/cell.

a b c (Å): 9.296 9.296 9.296
angles (deg): 109.47 109.47 109.47
Fractional coordinates of all 20 atoms:
1 Cl 0.000 0.261 0.261
2 Cl 0.739 0.000 0.739
3 Cl 0.500 0.250 0.750
4 Cl 0.261 0.000 0.261
5 Cl 0.250 0.500 0.750
6 Cl 0.739 0.739 0.000
7 Cl 0.250 0.750 0.500
8 Cl 0.750 0.250 0.500
9 Cl 0.500 0.750 0.250
10 Cl 0.750 0.500 0.250
11 Cl 0.261 0.261 0.000
12 Cl 0.000 0.739 0.739
13 Na 0.000 0.000 0.000
14 Cs 0.000 0.000 0.500
15 Cs 0.500 0.000 0.000
16 Cs 0.000 0.500 0.000
17 Cs 0.500 0.500 0.500
18 Cd 0.500 0.000 0.500
19 Cd 0.500 0.500 0.000
20 Cd 0.000 0.500 0.500

First-principles (PBE) data for TiCd2SiHg after structural relaxation, as listed in the Alexandria database.

Values from the calculation:
As for the raw formation energy: 643 meV per atom. Its total magnetization is 1.0 μB/cell.

a b c (Å): 5.620 4.769 5.620
angles (deg): 90.00 90.00 90.00
Last column: magnetic moment on the atom in μB.
Fractional coordinates of all 5 atoms:
1 Cd 0.500 0.000 0.000  0.05
2 Cd 0.000 0.000 0.500  0.01
3 Hg 0.500 0.500 0.500  0.01
4 Ti 0.000 0.000 0.000  0.67
5 Si 0.000 0.500 0.000  0.02

First-principles (PBE) data for TbSm2Mg2 after structural relaxation, as listed in the Alexandria database.

Values from the calculation:
As for the energy above the most stable polymorph in this dataset: 0 meV/atom. Its total magnetization is 0.0 μB/cell. The formation energy is -0.071 eV/atom.

a b c (Å): 3.803 5.476 14.190
angles (deg): 90.00 97.74 90.00
Fractional coordinates of all 10 atoms:
1 Sm 0.045 0.750 0.089
2 Sm 0.955 0.250 0.911
3 Sm 0.236 0.750 0.474
4 Sm 0.764 0.250 0.526
5 Mg 0.554 0.250 0.108
6 Mg 0.640 0.750 0.280
7 Mg 0.360 0.250 0.720
8 Mg 0.446 0.750 0.892
9 Tb 0.850 0.750 0.700
10 Tb 0.150 0.250 0.300

First-principles (PBE) data for Cd2SiMo after structural relaxation, as listed in the Alexandria database.

Values from the calculation:
As for the raw formation energy: 172 meV per atom. Its total magnetization is 0.0 μB/cell.

a b c (Å): 3.604 3.084 7.009
angles (deg): 76.26 90.00 90.00
Fractional coordinates of all 4 atoms:
1 Si 0.500 0.967 0.674
2 Cd 0.000 0.828 0.982
3 Cd 0.500 0.184 0.269
4 Mo 0.000 0.520 0.575

First-principles (PBE) data for Ac6InCo3 after structural relaxation, as listed in the Alexandria database.

Values from the calculation:
Its total magnetization is 0.0 μB/cell. The formation energy is -0.055 eV/atom.

a b c (Å): 4.172 12.249 13.107
angles (deg): 104.00 90.00 90.00
Fractional coordinates of all 20 atoms:
1 Ac 0.250 0.823 0.527
2 Ac 0.750 0.387 0.048
3 Ac 0.750 0.921 0.089
4 Ac 0.250 0.201 0.214
5 Ac 0.250 0.079 0.911
6 Ac 0.750 0.692 0.255
7 Ac 0.250 0.308 0.745
8 Ac 0.250 0.497 0.378
9 Ac 0.250 0.613 0.952
10 Ac 0.750 0.799 0.786
11 Ac 0.750 0.177 0.473
12 Ac 0.750 0.503 0.622
13 In 0.250 0.954 0.315
14 In 0.750 0.046 0.685
15 Co 0.750 0.152 0.069
16 Co 0.750 0.473 0.839
17 Co 0.250 0.848 0.931
18 Co 0.250 0.527 0.161
19 Co 0.250 0.342 0.528
20 Co 0.750 0.658 0.472

First-principles (PBE) data for CsSc2Tl after structural relaxation, as listed in the Alexandria database.

Values from the calculation:
As for the energy above the most stable polymorph in this dataset: 0 meV/atom. Its total magnetization is 0.0 μB/cell. The formation energy is 0.607 eV/atom.

a b c (Å): 13.060 13.060 13.060
angles (deg): 15.25 15.25 15.25
Fractional coordinates of all 4 atoms:
1 Tl 0.000 0.000 0.000
2 Sc 0.078 0.078 0.078
3 Sc 0.922 0.922 0.922
4 Cs 0.500 0.500 0.500

First-principles (PBE) data for Ce6OsRuPb2 after structural relaxation, as listed in the Alexandria database.

Values from the calculation:
Its total magnetization is 5.2 μB/cell. The formation energy is -0.234 eV/atom.

a b c (Å): 7.581 7.581 7.578
angles (deg): 60.00 60.00 90.00
Last column: magnetic moment on the atom in μB.
Fractional coordinates of all 10 atoms:
1 Ce 0.749 0.749 0.502  0.71
2 Ce 0.749 0.251 0.000  0.71
3 Ce 0.749 0.749 0.000  0.71
4 Ce 0.251 0.251 0.000  0.71
5 Ce 0.251 0.749 0.000  0.71
6 Ce 0.251 0.251 0.498  0.71
7 Ru 0.500 0.500 0.000  -0.06
8 Pb 0.750 0.250 0.500  -0.04
9 Pb 0.250 0.750 0.500  -0.04
10 Os 0.000 0.000 0.000  -0.07

First-principles (PBE) data for FeTc2Ag after structural relaxation, as listed in the Alexandria database.

Values from the calculation:
As for the energy above the most stable polymorph in this dataset: 110 meV/atom. Its total magnetization is 2.4 μB/cell. The formation energy is 0.428 eV/atom.

a b c (Å): 5.447 5.447 5.447
angles (deg): 150.05 132.01 57.61
Last column: magnetic moment on the atom in μB.
Fractional coordinates of all 4 atoms:
1 Ag 0.750 0.250 0.500  0.02
2 Fe 0.250 0.750 0.500  2.38
3 Tc 0.468 0.468 0.000  -0.02
4 Tc 0.032 0.032 0.000  -0.02

First-principles (PBE) data for FePtSeBr2 after structural relaxation, as listed in the Alexandria database.

Values from the calculation:
As for the energy above the most stable polymorph in this dataset: 0 meV/atom. As for the raw formation energy: 636 meV per atom. Its total magnetization is 4.0 μB/cell.

a b c (Å): 5.131 5.131 4.992
angles (deg): 90.00 90.00 90.00
Last column: magnetic moment on the atom in μB.
Fractional coordinates of all 5 atoms:
1 Br 0.000 0.500 0.000  0.04
2 Br 0.500 0.000 0.000  0.04
3 Fe 0.500 0.500 0.500  3.40
4 Pt 0.000 0.000 0.000  0.04
5 Se 0.000 0.000 0.500  0.12

First-principles (PBE) data for PaGaReTc after structural relaxation, as listed in the Alexandria database.

Values from the calculation:
Its total magnetization is 0.0 μB/cell. The formation energy is -0.058 eV/atom.

a b c (Å): 4.631 4.631 4.631
angles (deg): 60.00 60.00 60.00
Fractional coordinates of all 4 atoms:
1 Ga 0.250 0.250 0.250
2 Pa 0.750 0.750 0.750
3 Tc 0.000 0.000 0.000
4 Re 0.500 0.500 0.500

First-principles (PBE) data for TeIrPt2 after structural relaxation, as listed in the Alexandria database.

Values from the calculation:
As for the raw formation energy: 284 meV per atom. Its total magnetization is 0.0 μB/cell.

a b c (Å): 3.978 4.154 4.154
angles (deg): 90.00 90.00 90.00
Fractional coordinates of all 4 atoms:
1 Ir 0.500 0.000 0.500
2 Te 0.500 0.500 0.000
3 Pt 0.000 0.000 0.000
4 Pt 0.000 0.500 0.500

First-principles (PBE) data for SrHgTeN2 after structural relaxation, as listed in the Alexandria database.

Values from the calculation:
As for the energy above the most stable polymorph in this dataset: 0 meV/atom. As for the raw formation energy: 905 meV per atom. Its total magnetization is 0.0 μB/cell.

a b c (Å): 4.417 5.406 4.417
angles (deg): 90.00 90.00 90.00
Fractional coordinates of all 5 atoms:
1 N 0.500 0.000 0.000
2 N 0.000 0.000 0.500
3 Sr 0.500 0.500 0.500
4 Hg 0.000 0.500 0.000
5 Te 0.000 0.000 0.000

First-principles (PBE) data for Cs2CaNpO6 after structural relaxation, as listed in the Alexandria database.

Values from the calculation:
As for the raw formation energy: -2281 meV per atom. Its total magnetization is 2.3 μB/cell.

a b c (Å): 6.323 6.323 8.941
angles (deg): 90.00 90.00 90.00
Last column: magnetic moment on the atom in μB.
Fractional coordinates of all 20 atoms:
1 O 0.726 0.476 0.500  0.16
2 O 0.000 0.750 0.226  0.16
3 O 0.774 0.976 0.000  0.16
4 O 0.726 0.024 0.500  0.16
5 O 0.000 0.750 0.774  0.16
6 O 0.274 0.024 0.500  0.16
7 O 0.226 0.976 0.000  0.16
8 O 0.500 0.250 0.274  0.16
9 O 0.500 0.250 0.726  0.16
10 O 0.226 0.524 0.000  0.16
11 O 0.774 0.524 0.000  0.16
12 O 0.274 0.476 0.500  0.16
13 Ca 0.000 0.750 0.500  0.00
14 Ca 0.500 0.250 0.000  0.00
15 Np 0.500 0.250 0.500  -0.08
16 Np 0.000 0.750 0.000  -0.08
17 Cs 0.000 0.250 0.250  0.01
18 Cs 0.500 0.750 0.250  0.01
19 Cs 0.500 0.750 0.750  0.01
20 Cs 0.000 0.250 0.750  0.01

First-principles (PBE) data for Ac2MnNi3Pt12 after structural relaxation, as listed in the Alexandria database.

Values from the calculation:
Its total magnetization is 8.1 μB/cell. The formation energy is -0.021 eV/atom.

a b c (Å): 7.998 7.998 7.998
angles (deg): 61.08 61.08 61.08
Last column: magnetic moment on the atom in μB.
Fractional coordinates of all 18 atoms:
1 Pt 0.887 0.365 0.365  0.17
2 Pt 0.626 0.124 0.124  0.14
3 Pt 0.374 0.876 0.876  0.14
4 Pt 0.124 0.124 0.626  0.14
5 Pt 0.876 0.876 0.374  0.14
6 Pt 0.876 0.374 0.876  0.14
7 Pt 0.124 0.626 0.124  0.14
8 Pt 0.635 0.635 0.113  0.17
9 Pt 0.365 0.365 0.887  0.17
10 Pt 0.113 0.635 0.635  0.17
11 Pt 0.635 0.113 0.635  0.17
12 Pt 0.365 0.887 0.365  0.17
13 Ni 0.000 0.000 0.500  0.78
14 Ni 0.500 0.000 0.000  0.78
15 Ni 0.000 0.500 0.000  0.78
16 Ac 0.619 0.619 0.619  0.03
17 Ac 0.381 0.381 0.381  0.03
18 Mn 0.000 0.000 0.000  3.48

First-principles (PBE) data for MgBeZn2 after structural relaxation, as listed in the Alexandria database.

Values from the calculation:
As for the energy above the most stable polymorph in this dataset: 41 meV/atom. Its total magnetization is 0.0 μB/cell. The formation energy is 0.149 eV/atom.

a b c (Å): 4.654 4.654 4.856
angles (deg): 74.76 74.76 36.06
Fractional coordinates of all 4 atoms:
1 Zn 0.523 0.523 0.463
2 Zn 0.977 0.977 0.037
3 Be 0.250 0.250 0.250
4 Mg 0.750 0.750 0.750

First-principles (PBE) data for Na3Nd2ThS6 after structural relaxation, as listed in the Alexandria database.

Values from the calculation:
As for the raw formation energy: -1739 meV per atom. Its total magnetization is 0.0 μB/cell.

a b c (Å): 4.097 8.240 9.184
angles (deg): 103.32 102.89 90.00
Fractional coordinates of all 12 atoms:
1 Nd 0.831 0.661 0.663
2 Nd 0.169 0.339 0.337
3 Na 0.169 0.833 0.338
4 Na 0.500 0.500 0.000
5 Na 0.831 0.167 0.662
6 S 0.002 0.238 0.003
7 S 0.339 0.912 0.678
8 S 0.332 0.422 0.663
9 S 0.661 0.088 0.322
10 S 0.668 0.578 0.337
11 S 0.998 0.762 0.997
12 Th 0.500 0.000 0.000